[1]
Computed, not measured: an optimized crystal structure of Ac3C4BrO12 at the GGA-PBE level of DFT.

The structure belongs to space group R32 (No. 155, hexagonal axes); the cell edges are 10.3421, 10.3421 and 10.9490 Å and the angles 90.00°, 90.00° and 120.00°. Symmetry generates all atoms from Ac at (0.0000, 0.5274, 0.0000), C at (0.0000, 0.0000, 0.5000), C at (0.0000, 0.4926, 0.5000), Br at (0.0000, 0.0000, 0.0000), O at (0.0000, 0.6201, 0.5000), O at (0.0000, 0.8749, 0.5000) and O at (0.0618, 0.2541, 0.7521).

The raw total energy comes out at -7.703 eV per atom. The calculation puts the density of states at the Fermi level at 0.00 states/eV/f.u. Its crystal system is trigonal.



[2]
Computed, not measured: an optimized crystal structure of Cr2CoSi at the GGA-PBE level of DFT.

The structure belongs to space group Cm (No. 8); the cell edges are 8.185, 2.522 and 4.452 Å and the angles 90.00°, 97.31° and 90.00°. Symmetry generates all atoms from Cr at (0.000, 0.000, 0.000), Cr at (0.234, 0.000, 0.785), Co at (0.494, 0.000, 0.488) and Si at (0.253, 0.500, 0.290).

The raw total energy comes out at -8.031 eV per atom. The calculation puts the density of states at the Fermi level at 4.61 states/eV/f.u. Its crystal system is monoclinic.